No. 1
Compound: CaSi2Tc2
Source: the Alexandria database
Functional: PBE
Structure: optimized geometry

POSCAR file:
```
CaSi2Tc2
1.0
-2.170 2.170 4.776
2.170 -2.170 4.776
2.170 2.170 -4.776
Ca Si Tc
1 2 2
Direct
0.000 0.000 0.000 Ca
0.250 0.750 0.500 Si
0.750 0.250 0.500 Si
0.378 0.378 0.000 Tc
0.622 0.622 0.000 Tc
```

Results
* ΔE to the lowest computed polymorph: 243 meV/atom
* ρ: 5.40 g cm⁻³
* formation energy from raw total energies: -0.201 eV per atom
* crystal system: tetragonal
* space group: I4/mmm, No. 139
* DFT total energy: -6.916 eV per atom

No. 2
Compound: Ca2SiTc
Source: the Alexandria database
Functional: PBE
Structure: optimized geometry

POSCAR file:
```
Ca2SiTc
1.0
-2.139 2.139 4.480
2.139 -2.139 4.480
2.139 2.139 -4.480
Ca Si Tc
2 1 1
Direct
0.250 0.750 0.500 Ca
0.750 0.250 0.500 Ca
0.000 0.000 0.000 Si
0.500 0.500 0.000 Tc
```

Results
* ρ: 4.18 g cm⁻³
* formation energy from raw total energies: 0.317 eV per atom
* crystal system: tetragonal
* space group: I4/mmm, No. 139
* DFT total energy: -4.631 eV per atom

> Which value of ρ does entry 1 give?

5.40 g cm⁻³